Here is AcNi2IrO8 after structural relaxation from Alexandria via LeMat-Bulk. Energies are from PBE with a Hubbard U.

Properties
total DFT energy (no corrections): -5.97 eV/atom
DOS(E_F): 7.87 states/eV per cell
calculated density: 7.31 g/cm³

CIF file:
```
data_AcNi2IrO8
_space_group_name_H-M_alt 'C 1 2/m 1'
_space_group_IT_number 12
_cell_length_a 6.5080
_cell_length_b 6.5081
_cell_length_c 7.1256
_cell_angle_alpha 90.00
_cell_angle_beta 90.04
_cell_angle_gamma 90.00
loop_
_space_group_symop_operation_xyz
'x,y,z'
'-x,-y,-z'
'-x,y,-z'
'x,-y,z'
'x+1/2,y+1/2,z'
'-x+1/2,-y+1/2,-z'
'-x+1/2,y+1/2,-z'
'x+1/2,-y+1/2,z'
loop_
_atom_site_label
_atom_site_type_symbol
_atom_site_fract_x
_atom_site_fract_y
_atom_site_fract_z
_atom_site_occupancy
Ac1 Ac 0.0000 0.0000 0.0000 1
Ni1 Ni 0.0023 0.5000 0.2984 1
Ir1 Ir 0.0000 0.0000 0.5000 1
O1 O 0.0019 0.1985 0.7058 1
O2 O 0.1128 0.5000 0.0173 1
O3 O 0.2122 0.5000 0.5010 1
```